DFT (PBE with a Hubbard U) results for a geometry-optimized Li2CrTeO structure.

a = 4.233 Å, b = 4.233 Å, c = 4.174 Å
α = 90.00°, β = 90.00°, γ = 90.00°
Fractional positions:
Li1 0.000 0.500 0.000
Li2 0.500 0.000 0.000
Cr1 0.000 0.000 0.500
Te1 0.500 0.500 0.500
O1 0.000 0.000 0.000

Output
- calculated volume (Å³ per atom) = 14.954
- DFT total energy (eV per atom) = -5.12
- size of the total moment (μB/cell) = 4.000